[1]
# Cs3TeSe6

A geometry-optimized Cs3TeSe6 structure (GGA-PBE, Alexandria via LeMat-Bulk).

Calculated values
density: 4.6 g/cm3
D(E_F): 0.51 states/eV per atom
total moment: 0.00 μB per formula unit
space group: No. 167
volume: 361.9 Å³/f.u.

Cell: 9.286 9.286 9.286 Å, 103.30 103.30 103.30°
Atoms (fractional coordinates):
Cs1 0.166 0.750 0.334
Cs2 0.250 0.666 0.834
Cs3 0.334 0.166 0.750
Cs4 0.666 0.834 0.250
Cs5 0.750 0.334 0.166
Cs6 0.834 0.250 0.666
Te1 0.000 0.000 0.000
Te2 0.500 0.500 0.500
Se1 0.031 0.116 0.338
Se2 0.116 0.338 0.031
Se3 0.162 0.384 0.469
Se4 0.338 0.031 0.116
Se5 0.384 0.469 0.162
Se6 0.469 0.162 0.384
Se7 0.531 0.838 0.616
Se8 0.616 0.531 0.838
Se9 0.662 0.969 0.884
Se10 0.838 0.616 0.531
Se11 0.884 0.662 0.969
Se12 0.969 0.884 0.662


[2]
# CsTeSe

A geometry-optimized CsTeSe structure (GGA-PBE, Alexandria via LeMat-Bulk).

Calculated values
density: 3.9 g/cm3
total moment: 0.00 μB per formula unit
space group: No. 2
volume: 144.0 Å³/f.u.

Cell: 5.865 6.510 8.630 Å, 101.10 101.64 111.16°
Atoms (fractional coordinates):
Cs1 0.194 0.328 0.189
Cs2 0.806 0.672 0.811
Te1 0.307 0.052 0.556
Te2 0.693 0.948 0.444
Se1 0.485 0.102 0.875
Se2 0.515 0.898 0.125


[3]
# Cs3Te4Se4

A geometry-optimized Cs3Te4Se4 structure (GGA-PBE, Alexandria via LeMat-Bulk).

Calculated values
density: 4.4 g/cm3
D(E_F): 0.58 states/eV per atom
total moment: 0.00 μB per formula unit
space group: No. 2
volume: 461.5 Å³/f.u.

Cell: 5.163 5.721 15.834 Å, 89.50 80.69 89.78°
Atoms (fractional coordinates):
Cs1 0.000 0.000 0.000
Cs2 0.138 0.310 0.723
Cs3 0.862 0.690 0.277
Te1 0.294 0.178 0.408
Te2 0.456 0.505 0.091
Te3 0.544 0.495 0.909
Te4 0.706 0.822 0.592
Se1 0.274 0.762 0.454
Se2 0.384 0.204 0.236
Se3 0.616 0.796 0.764
Se4 0.726 0.238 0.546


[4]
# Cs3TeSe3

A geometry-optimized Cs3TeSe3 structure (GGA-PBE, Alexandria via LeMat-Bulk).

Calculated values
density: 3.8 g/cm3
total moment: 0.00 μB per formula unit
space group: No. 12
volume: 329.9 Å³/f.u.

Cell: 8.932 8.932 8.982 Å, 93.30 93.30 112.24°
Atoms (fractional coordinates):
Cs1 0.171 0.829 0.000
Cs2 0.224 0.776 0.500
Cs3 0.379 0.379 0.152
Cs4 0.621 0.621 0.848
Cs5 0.776 0.224 0.500
Cs6 0.829 0.171 0.000
Te1 0.193 0.193 0.694
Te2 0.807 0.807 0.306
Se1 0.073 0.073 0.311
Se2 0.166 0.473 0.788
Se3 0.473 0.166 0.788
Se4 0.527 0.834 0.212
Se5 0.834 0.527 0.212
Se6 0.927 0.927 0.689


[5]
# Cs5Te2Se6

A geometry-optimized Cs5Te2Se6 structure (GGA-PBE, Alexandria via LeMat-Bulk).

Calculated values
density: 4.0 g/cm3
D(E_F): 0.18 states/eV per atom
total moment: 0.00 μB per formula unit
space group: No. 55
volume: 581.1 Å³/f.u.

Cell: 14.298 14.403 5.644 Å, 90.00 90.00 90.00°
Atoms (fractional coordinates):
Cs1 0.000 0.000 0.000
Cs2 0.030 0.284 0.000
Cs3 0.206 0.553 0.000
Cs4 0.294 0.053 0.000
Cs5 0.470 0.784 0.000
Cs6 0.500 0.500 0.000
Cs7 0.530 0.216 0.000
Cs8 0.706 0.947 0.000
Cs9 0.794 0.447 0.000
Cs10 0.970 0.716 0.000
Te1 0.229 0.301 0.500
Te2 0.271 0.801 0.500
Te3 0.729 0.199 0.500
Te4 0.771 0.699 0.500
Se1 0.100 0.424 0.500
Se2 0.138 0.144 0.500
Se3 0.217 0.811 0.000
Se4 0.283 0.311 0.000
Se5 0.362 0.644 0.500
Se6 0.400 0.924 0.500
Se7 0.600 0.076 0.500
Se8 0.638 0.356 0.500
Se9 0.717 0.689 0.000
Se10 0.783 0.189 0.000
Se11 0.862 0.856 0.500
Se12 0.900 0.576 0.500


[6]
# CsTeSe4

A geometry-optimized CsTeSe4 structure (GGA-PBE, Alexandria via LeMat-Bulk).

Calculated values
density: 4.1 g/cm3
D(E_F): 0.22 states/eV per atom
total moment: 0.00 μB per formula unit
space group: No. 15
volume: 233.1 Å³/f.u.

Cell: 8.286 8.286 9.301 Å, 120.79 120.79 81.11°
Atoms (fractional coordinates):
Cs1 0.070 0.930 0.750
Cs2 0.930 0.070 0.250
Te1 0.467 0.533 0.250
Te2 0.533 0.467 0.750
Se1 0.132 0.404 0.203
Se2 0.238 0.402 0.772
Se3 0.402 0.238 0.272
Se4 0.404 0.132 0.703
Se5 0.596 0.868 0.297
Se6 0.598 0.762 0.728
Se7 0.762 0.598 0.228
Se8 0.868 0.596 0.797


[7]
# Cs2TeSe

A geometry-optimized Cs2TeSe structure (GGA-PBE, Alexandria via LeMat-Bulk).

Calculated values
density: 4.4 g/cm3
total moment: 0.00 μB per formula unit
space group: No. 62
volume: 177.6 Å³/f.u.

Cell: 9.755 10.404 7.000 Å, 90.00 90.00 90.00°
Atoms (fractional coordinates):
Cs1 0.124 0.052 0.249
Cs2 0.124 0.448 0.249
Cs3 0.376 0.552 0.749
Cs4 0.376 0.948 0.749
Cs5 0.624 0.052 0.251
Cs6 0.624 0.448 0.251
Cs7 0.876 0.552 0.751
Cs8 0.876 0.948 0.751
Te1 0.125 0.250 0.748
Te2 0.375 0.750 0.248
Te3 0.625 0.250 0.752
Te4 0.875 0.750 0.252
Se1 0.126 0.750 0.018
Se2 0.374 0.250 0.518
Se3 0.626 0.750 0.482
Se4 0.874 0.250 0.982


[8]
# CsTe2Se4

A geometry-optimized CsTe2Se4 structure (GGA-PBE, Alexandria via LeMat-Bulk).

Calculated values
density: 4.0 g/cm3
total moment: 0.00 μB per formula unit
space group: No. 1
volume: 289.7 Å³/f.u.

Cell: 7.185 7.223 12.100 Å, 104.76 99.06 101.90°
Atoms (fractional coordinates):
Cs1 0.000 0.000 0.000
Cs2 0.193 0.826 0.483
Te1 0.532 0.399 0.825
Te2 0.544 0.706 0.153
Te3 0.675 0.321 0.298
Te4 0.924 0.349 0.637
Se1 0.198 0.167 0.773
Se2 0.274 0.494 0.212
Se3 0.391 0.008 0.257
Se4 0.429 0.746 0.952
Se5 0.684 0.103 0.698
Se6 0.691 0.507 0.525
Se7 0.704 0.398 0.026
Se8 0.972 0.197 0.319


[9]
# Cs10Te4Se

A geometry-optimized Cs10Te4Se structure (GGA-PBE, Alexandria via LeMat-Bulk).

Calculated values
density: 3.6 g/cm3
D(E_F): 0.00 states/eV per atom
total moment: 0.00 μB per formula unit
space group: No. 87
volume: 877.5 Å³/f.u.

Cell: 10.883 10.883 10.883 Å, 99.61 99.61 131.77°
Atoms (fractional coordinates):
Cs1 0.048 0.146 0.708
Cs2 0.146 0.438 0.097
Cs3 0.250 0.750 0.500
Cs4 0.340 0.048 0.903
Cs5 0.438 0.340 0.292
Cs6 0.562 0.660 0.708
Cs7 0.660 0.952 0.097
Cs8 0.750 0.250 0.500
Cs9 0.854 0.562 0.903
Cs10 0.952 0.854 0.292
Te1 0.202 0.601 0.803
Te2 0.399 0.202 0.601
Te3 0.601 0.798 0.399
Te4 0.798 0.399 0.197
Se1 0.000 0.000 0.000


[10]
# Cs2TeSe5

A geometry-optimized Cs2TeSe5 structure (GGA-PBE, Alexandria via LeMat-Bulk).

Calculated values
density: 3.6 g/cm3
total moment: 0.00 μB per formula unit
space group: No. 1
volume: 362.8 Å³/f.u.

Cell: 7.036 7.434 7.460 Å, 68.53 88.05 89.84°
Atoms (fractional coordinates):
Cs1 0.000 0.000 0.000
Cs2 0.486 0.592 0.764
Te1 0.886 0.373 0.367
Se1 0.005 0.608 0.505
Se2 0.125 0.056 0.479
Se3 0.436 0.158 0.512
Se4 0.499 0.069 0.840
Se5 0.956 0.497 0.012


[11]
# Cs12Te3Se5

A geometry-optimized Cs12Te3Se5 structure (GGA-PBE, Alexandria via LeMat-Bulk).

Calculated values
density: 3.2 g/cm3
D(E_F): 2.32 states/eV per atom
total moment: 4.46 μB per formula unit
space group: No. 230
volume: 1248.3 Å³/f.u.

Cell: 18.649 18.649 18.649 Å, 109.47 109.47 109.47°
Atoms (fractional coordinates):
Cs1 0.044 0.216 0.128
Cs2 0.044 0.328 0.916
Cs3 0.084 0.628 0.412
Cs4 0.084 0.956 0.672
Cs5 0.088 0.716 0.672
Cs6 0.088 0.872 0.416
Cs7 0.128 0.044 0.216
Cs8 0.128 0.584 0.912
Cs9 0.172 0.216 0.588
Cs10 0.172 0.456 0.584
Cs11 0.216 0.128 0.044
Cs12 0.216 0.588 0.172
Cs13 0.284 0.328 0.912
Cs14 0.284 0.456 0.372
Cs15 0.328 0.912 0.284
Cs16 0.328 0.916 0.044
Cs17 0.372 0.284 0.456
Cs18 0.372 0.588 0.916
Cs19 0.412 0.084 0.628
Cs20 0.412 0.828 0.784
Cs21 0.416 0.088 0.872
Cs22 0.416 0.828 0.544
Cs23 0.456 0.372 0.284
Cs24 0.456 0.584 0.172
Cs25 0.544 0.416 0.828
Cs26 0.544 0.628 0.716
Cs27 0.584 0.172 0.456
Cs28 0.584 0.912 0.128
Cs29 0.588 0.172 0.216
Cs30 0.588 0.916 0.372
Cs31 0.628 0.412 0.084
Cs32 0.628 0.716 0.544
Cs33 0.672 0.084 0.956
Cs34 0.672 0.088 0.716
Cs35 0.716 0.544 0.628
Cs36 0.716 0.672 0.088
Cs37 0.784 0.412 0.828
Cs38 0.784 0.872 0.956
Cs39 0.828 0.544 0.416
Cs40 0.828 0.784 0.412
Cs41 0.872 0.416 0.088
Cs42 0.872 0.956 0.784
Cs43 0.912 0.128 0.584
Cs44 0.912 0.284 0.328
Cs45 0.916 0.044 0.328
Cs46 0.916 0.372 0.588
Cs47 0.956 0.672 0.084
Cs48 0.956 0.784 0.872
Te1 0.125 0.250 0.375
Te2 0.125 0.375 0.750
Te3 0.250 0.375 0.125
Te4 0.250 0.875 0.625
Te5 0.375 0.125 0.250
Te6 0.375 0.750 0.125
Te7 0.625 0.250 0.875
Te8 0.625 0.875 0.750
Te9 0.750 0.125 0.375
Te10 0.750 0.625 0.875
Te11 0.875 0.625 0.250
Te12 0.875 0.750 0.625
Se1 0.000 0.000 0.000
Se2 0.000 0.000 0.500
Se3 0.000 0.500 0.000
Se4 0.000 0.500 0.500
Se5 0.125 0.750 0.875
Se6 0.125 0.875 0.250
Se7 0.250 0.125 0.875
Se8 0.250 0.625 0.375
Se9 0.375 0.250 0.625
Se10 0.375 0.625 0.750
Se11 0.500 0.000 0.000
Se12 0.500 0.000 0.500
Se13 0.500 0.500 0.000
Se14 0.500 0.500 0.500
Se15 0.625 0.375 0.250
Se16 0.625 0.750 0.375
Se17 0.750 0.375 0.625
Se18 0.750 0.875 0.125
Se19 0.875 0.125 0.750
Se20 0.875 0.250 0.125


[12]
# CsTe2Se2

A geometry-optimized CsTe2Se2 structure (GGA-PBE, Alexandria via LeMat-Bulk).

Calculated values
density: 4.5 g/cm3
D(E_F): 0.82 states/eV per atom
total moment: 0.00 μB per formula unit
space group: No. 139
volume: 202.5 Å³/f.u.

Cell: 7.441 7.441 7.441 Å, 135.07 135.07 65.42°
Atoms (fractional coordinates):
Cs1 0.000 0.000 0.000
Te1 0.300 0.300 0.000
Te2 0.700 0.700 0.000
Se1 0.250 0.750 0.500
Se2 0.750 0.250 0.500


Number 1: ΔE_f (raw) -0.55 eV per atom. Number 2: ΔE_f (raw) -0.66 eV per atom. Number 3: ΔE_f (raw) -0.53 eV per atom. Number 4: ΔE_f (raw) -0.82 eV per atom. Number 5: ΔE_f (raw) -0.75 eV per atom. Number 6: ΔE_f (raw) -0.22 eV per atom. Number 7: ΔE_f (raw) -0.94 eV per atom. Number 8: ΔE_f (raw) -0.30 eV per atom. Number 9: ΔE_f (raw) -1.04 eV per atom. Number 10: ΔE_f (raw) -0.54 eV per atom. Number 11: ΔE_f (raw) -0.80 eV per atom. Number 12: ΔE_f (raw) -0.38 eV per atom.